1.
{
  "formula": "SrNd5Tl4",
  "functional": "PBE",
  "state": "relaxed",
  "formation_enthalpy_0k_mev_per_atom": 3,
  "polymorph_energy_mev_per_atom": 270,
  "cell": [[7.819, 0.000, 0.000], [0.000, 11.092, 0.000], [0.000, 0.000, 8.705]],
  "species": ["Sr", "Sr", "Nd", "Nd", "Nd", "Nd", "Nd", "Nd", "Nd", "Nd", "Nd", "Nd", "Tl", "Tl", "Tl", "Tl", "Tl", "Tl", "Tl", "Tl"],
  "fractional_positions": [[0.250, 0.250, 0.222], [0.750, 0.750, 0.778], [0.006, 0.051, 0.713], [0.006, 0.449, 0.713], [0.250, 0.750, 0.873], [0.494, 0.051, 0.713], [0.494, 0.449, 0.713], [0.506, 0.551, 0.287], [0.506, 0.949, 0.287], [0.750, 0.250, 0.127], [0.994, 0.551, 0.287], [0.994, 0.949, 0.287], [0.055, 0.750, 0.539], [0.250, 0.014, 0.006], [0.250, 0.486, 0.006], [0.445, 0.750, 0.539], [0.555, 0.250, 0.461], [0.750, 0.514, 0.994], [0.750, 0.986, 0.994], [0.945, 0.250, 0.461]]
}


2.
{
  "formula": "CsTl2C2O6",
  "functional": "PBE",
  "state": "relaxed",
  "energy_ev_per_atom": -6.1723,
  "cell": [[5.378, 0.000, 0.000], [-2.479, 5.125, 0.000], [-2.638, -1.631, 7.827]],
  "species": ["Cs", "Tl", "Tl", "C", "C", "O", "O", "O", "O", "O", "O"],
  "fractional_positions": [[0.000, 0.000, 0.000], [0.364, 0.179, 0.573], [0.636, 0.821, 0.427], [0.110, 0.573, 0.717], [0.890, 0.427, 0.283], [0.106, 0.344, 0.724], [0.138, 0.414, 0.313], [0.352, 0.788, 0.743], [0.648, 0.212, 0.257], [0.862, 0.586, 0.687], [0.894, 0.656, 0.276]]
}


3.
{
  "formula": "Hf3CdFe",
  "functional": "PBE",
  "state": "relaxed",
  "formation_enthalpy_0k_mev_per_atom": -15,
  "polymorph_energy_mev_per_atom": 0,
  "cell": [[8.318, 0.000, 0.000], [0.000, 3.101, 0.000], [-3.112, 0.000, 7.785]],
  "species": ["Hf", "Hf", "Hf", "Hf", "Hf", "Hf", "Cd", "Cd", "Fe", "Fe"],
  "fractional_positions": [[0.130, 0.250, 0.154], [0.177, 0.250, 0.800], [0.318, 0.750, 0.532], [0.682, 0.250, 0.468], [0.823, 0.750, 0.200], [0.870, 0.750, 0.846], [0.443, 0.750, 0.143], [0.557, 0.250, 0.857], [0.048, 0.250, 0.417], [0.952, 0.750, 0.583]]
}